DFT (GGA-PBE) results for PmNdBr4 after structural relaxation.

For the volume, the calculation gives 31.99 Å³/atom. The calculation puts the density of states at the Fermi level at 3.69 states/eV/f.u. Its space-group type is Imma, No. 74. The calculation puts the energy above the most stable polymorph in this dataset at 0.00 eV per formula unit.

Geometry as POSCAR:
```
PmNdBr4
1.0
-4.046 -2.371 6.619
0.218 -7.741 -2.640
6.925 4.251 0.786
Pm Br Nd
2 8 2
Cartesian
-2.023 -1.186 3.309
-1.914 -5.056 1.989
0.551 -1.748 4.681
0.651 -5.320 3.463
2.546 -4.113 0.083
-0.803 -2.505 0.939
6.052 -2.096 0.305
2.445 -0.542 1.301
-2.955 -3.766 4.459
3.900 -3.357 3.825
1.439 0.940 3.702
3.463 2.125 0.393
```

DFT (GGA-PBE) results for PmNd2Br after structural relaxation.

For the volume, the calculation gives 32.16 Å³/atom. The calculation puts the density of states at the Fermi level at 3.38 states/eV/f.u. Its space-group type is R-3m, No. 166. The calculation puts the energy above the most stable polymorph in this dataset at 0.00 eV per formula unit.

Geometry as POSCAR:
```
PmNd2Br
1.0
3.748 0.000 0.000
1.874 3.246 0.000
1.874 1.082 10.576
Br Pm Nd
1 1 2
Cartesian
0.000 0.000 0.000
3.748 2.164 5.288
1.874 1.082 2.387
5.622 3.246 8.189
```

Computed M_tot, in the same sequence as the records: 0.00 0.00 Bohr magnetons per cell.
Computed final energy, in the same sequence as the records: -4.339 -4.553 eV per atom.
Computed energy relative to the elements, uncorrected, in the same sequence as the records: -37.76 -13.00 kcal/mol of atoms.